Entry 1:
The following is a SCAN calculation of CaYRe2 at its PBEsol-relaxed geometry, from Alexandria.

Summary:
The calculation puts the formation enthalpy at 0 K at 0.64 eV/atom. The distance to the lowest polymorph of the same formula comes out at 0.0 kJ per mole of atoms.

Unit cell a=3.738 b=3.738 c=6.481 alpha=90.00 beta=90.00 gamma=90.00
Positions (direct):
Ca  0.000  0.000  0.000
Y  0.000  0.000  0.500
Re  0.500  0.500  0.319
Re  0.500  0.500  0.681

=====

Entry 2:
The following is a SCAN calculation of BePt2 at its PBEsol-relaxed geometry, from Alexandria.

Summary:
The calculation puts the formation enthalpy at 0 K at -0.60 eV/atom.

Unit cell a=5.292 b=3.875 c=7.410 alpha=90.00 beta=90.00 gamma=90.00
Positions (direct):
Be  0.202  0.250  0.106
Be  0.298  0.750  0.606
Be  0.702  0.250  0.394
Be  0.798  0.750  0.894
Pt  0.027  0.250  0.797
Pt  0.163  0.250  0.433
Pt  0.337  0.750  0.933
Pt  0.473  0.750  0.297
Pt  0.527  0.250  0.703
Pt  0.663  0.250  0.067
Pt  0.837  0.750  0.567
Pt  0.973  0.750  0.203

=====

Entry 3:
The following is a SCAN calculation of RbSc2Bi2 at its PBEsol-relaxed geometry, from Alexandria.

Summary:
The calculation puts the formation enthalpy at 0 K at -0.58 eV/atom.

Unit cell a=8.038 b=8.038 c=8.038 alpha=144.65 beta=144.65 gamma=50.86
Positions (direct):
Rb  0.000  0.000  0.000
Sc  0.250  0.750  0.500
Sc  0.750  0.250  0.500
Bi  0.363  0.363  0.000
Bi  0.637  0.637  0.000

=====

Entry 4:
The following is a SCAN calculation of FeSiRh at its PBEsol-relaxed geometry, from Alexandria.

Summary:
The calculated total energy comes out at -21.09 eV/atom.

Unit cell a=4.962 b=4.962 c=4.962 alpha=147.35 beta=147.35 gamma=46.84
Positions (direct):
Fe  0.000  0.000  0.000
Si  0.642  0.642  0.000
Rh  0.304  0.304  0.000

=====

Entry 5:
The following is a SCAN calculation of HfHgN2 at its PBEsol-relaxed geometry, from Alexandria.

Summary:
The calculated total energy comes out at -37.95 eV/atom.

Unit cell a=6.125 b=6.125 c=6.125 alpha=131.61 beta=131.61 gamma=70.84
Positions (direct):
Hf  0.000  0.000  0.000
Hf  0.750  0.250  0.500
Hg  0.250  0.750  0.500
Hg  0.500  0.500  0.000
N  0.079  0.625  0.954
N  0.375  0.329  0.454
N  0.671  0.125  0.046
N  0.875  0.921  0.546

=====

Entry 6:
The following is a SCAN calculation of La3Ge3Br2 at its PBEsol-relaxed geometry, from Alexandria.

Summary:
The calculated total energy comes out at -29.59 eV/atom.

Unit cell a=9.462 b=9.462 c=10.805 alpha=97.74 beta=97.74 gamma=26.19
Positions (direct):
La  0.031  0.031  0.330
La  0.113  0.113  0.988
La  0.178  0.178  0.646
La  0.822  0.822  0.354
La  0.887  0.887  0.012
La  0.969  0.969  0.670
Ge  0.407  0.407  0.220
Ge  0.432  0.432  0.457
Ge  0.476  0.476  0.884
Ge  0.524  0.524  0.116
Ge  0.568  0.568  0.543
Ge  0.593  0.593  0.780
Br  0.200  0.200  0.369
Br  0.275  0.275  0.892
Br  0.725  0.725  0.108
Br  0.800  0.800  0.631

=====

Entry 7:
The following is a SCAN calculation of AlRu4Pt at its PBEsol-relaxed geometry, from Alexandria.

Summary:
The calculation puts the formation enthalpy at 0 K at 0.39 eV/atom.

Unit cell a=4.994 b=4.994 c=4.994 alpha=60.00 beta=60.00 gamma=60.00
Positions (direct):
Al  0.000  0.000  0.000
Ru  0.126  0.625  0.625
Ru  0.625  0.126  0.625
Ru  0.625  0.625  0.126
Ru  0.625  0.625  0.625
Pt  0.250  0.250  0.250

=====

Entry 8:
The following is a SCAN calculation of BaY2As at its PBEsol-relaxed geometry, from Alexandria.

Summary:
The calculation puts the formation enthalpy at 0 K at -0.16 eV/atom.

Unit cell a=6.437 b=6.437 c=3.614 alpha=105.44 beta=105.44 gamma=116.74
Positions (direct):
Ba  0.000  0.000  0.000
Y  0.000  0.500  0.500
Y  0.500  0.000  0.500
As  0.500  0.500  0.000

=====

Entry 9:
The following is a SCAN calculation of In4Ag3Ge4Se16 at its PBEsol-relaxed geometry, from Alexandria.

Summary:
The calculated total energy comes out at -23.49 eV/atom.

Unit cell a=12.318 b=12.318 c=12.318 alpha=142.10 beta=142.10 gamma=54.68
Positions (direct):
In  0.120  0.626  0.990
In  0.374  0.364  0.494
In  0.636  0.130  0.010
In  0.870  0.880  0.506
Ag  0.256  0.256  0.000
Ag  0.500  0.500  0.000
Ag  0.744  0.744  0.000
Ge  0.000  0.500  0.500
Ge  0.250  0.750  0.500
Ge  0.500  0.000  0.500
Ge  0.750  0.250  0.500
Se  0.050  0.281  0.694
Se  0.073  0.841  0.286
Se  0.159  0.444  0.231
Se  0.213  0.927  0.769
Se  0.296  0.031  0.221
Se  0.304  0.599  0.770
Se  0.401  0.171  0.705
Se  0.465  0.696  0.295
Se  0.556  0.787  0.714
Se  0.587  0.356  0.306
Se  0.644  0.950  0.231
Se  0.719  0.413  0.769
Se  0.810  0.075  0.779
Se  0.829  0.535  0.230
Se  0.925  0.704  0.735
Se  0.969  0.190  0.265

=====

Entry 10:
The following is a SCAN calculation of CrCoS2 at its PBEsol-relaxed geometry, from Alexandria.

Summary:
The distance to the lowest polymorph of the same formula comes out at 0.0 kJ per mole of atoms.

Unit cell a=7.141 b=7.141 c=7.141 alpha=26.51 beta=26.51 gamma=26.51
Positions (direct):
Cr  0.000  0.000  0.000
Co  0.500  0.500  0.500
S  0.111  0.111  0.111
S  0.889  0.889  0.889

=====

Per-record total magnetization, μB/f.u.: 0.00, 0.00, 1.01, 2.33, 0.00, 0.00, 0.01, 0.00, 0.00, 4.34